(1)
## AlBiN3 (GGA-PBEsol)

Data for a relaxed AlBiN3 crystal.

Computed properties:
Formation energy from raw total energies (eV/atom): 1.9160
Calculated volume (Å³/f.u.): 75.6
Total DFT energy (no corrections) (eV per atom): -4.875
D(E_F) (states/eV/atom): 0.85

abc: 4.228 4.228 4.228
angles: 90.00 90.00 90.00
Space group Pm-3m (No. 221)
Symmetry-distinct sites (fractional):
Al: 0.000 0.000 0.000 [1 per cell]
Bi: 0.500 0.500 0.500 [1 per cell]
N: 0.000 0.500 0.500 [3 per cell]

***

(2)
## AlCu2Au (GGA-PBEsol)

Data for a relaxed AlCu2Au crystal.

Computed properties:
E_form (meV/atom): -199
Calculated volume (Å³/f.u.): 53.9
Total DFT energy (no corrections) (eV per atom): -4.370
D(E_F) (states/eV/atom): 0.28

abc: 2.885 3.327 5.619
angles: 90.00 90.00 90.00
Space group Pmm2 (No. 25)
Symmetry-distinct sites (fractional):
Al: 0.000 0.000 0.000 [1 per cell]
Cu: 0.000 0.000 0.547 [1 per cell]
Cu: 0.500 0.500 0.761 [1 per cell]
Au: 0.500 0.500 0.268 [1 per cell]

***

(3)
## MnCo (GGA-PBEsol)

Data for a relaxed MnCo crystal.

Computed properties:
E_form (meV/atom): -1
Calculated volume (Å³/f.u.): 20.0
Total DFT energy (no corrections) (eV per atom): -8.750
D(E_F) (states/eV/atom): 1.16

abc: 8.854 2.421 5.759
angles: 90.00 103.95 90.00
Space group Cm (No. 8)
Symmetry-distinct sites (fractional):
Mn: 0.000 0.000 0.000 [2 per cell]
Mn: 0.057 0.000 0.615 [2 per cell]
Mn: 0.386 0.000 0.281 [2 per cell]
Co: 0.164 0.500 0.334 [2 per cell]
Co: 0.222 0.500 0.948 [2 per cell]
Co: 0.336 0.000 0.670 [2 per cell]

***

(4)
## K3Ir (GGA-PBEsol)

Data for a relaxed K3Ir crystal.

Computed properties:
E_form (meV/atom): 1038
Calculated volume (Å³/f.u.): 184.3
Total DFT energy (no corrections) (eV per atom): -2.268
D(E_F) (states/eV/atom): 1.77

abc: 4.1651 4.1651 12.2696
angles: 90.00 90.00 120.00
Space group P-6m2 (No. 187)
Symmetry-distinct sites (fractional):
K: 0.0000 0.0000 0.0000 [1 per cell]
K: 0.3333 0.6667 0.3366 [2 per cell]
Ir: 0.0000 0.0000 0.5000 [1 per cell]

***

(5)
## AlZnRh (GGA-PBEsol)

Data for a relaxed AlZnRh crystal.

Computed properties:
E_form (meV/atom): -184
Calculated volume (Å³/f.u.): 46.5
Total DFT energy (no corrections) (eV per atom): -4.788
D(E_F) (states/eV/atom): 0.39

abc: 5.708 5.708 5.708
angles: 90.00 90.00 90.00
Space group F-43m (No. 216)
Symmetry-distinct sites (fractional):
Al: 0.000 0.000 0.000 [4 per cell]
Zn: 0.250 0.250 0.250 [4 per cell]
Rh: 0.250 0.250 0.750 [4 per cell]

***

(6)
## Cd4OF6 (GGA-PBEsol)

Data for a relaxed Cd4OF6 crystal.

Computed properties:
Formation energy from raw total energies (eV/atom): -1.9779
Calculated volume (Å³/f.u.): 152.9
Total DFT energy (no corrections) (eV per atom): -3.942
D(E_F) (states/eV/atom): 0.00

abc: 7.511 7.511 5.420
angles: 90.00 90.00 90.00
Space group P4_2/nmc (No. 137, origin choice 2)
Symmetry-distinct sites (fractional):
Cd: 0.002 0.250 0.053 [8 per cell]
O: 0.250 0.750 0.750 [2 per cell]
F: 0.037 0.537 0.250 [8 per cell]
F: 0.250 0.250 0.323 [4 per cell]

***

(7)
## Li2CaInB (GGA-PBEsol)

Data for a relaxed Li2CaInB crystal.

Computed properties:
E_form (meV/atom): 1151
Calculated volume (Å³/f.u.): 129.0
Total DFT energy (no corrections) (eV per atom): -2.062
D(E_F) (states/eV/atom): 0.47

abc: 5.358 5.358 4.493
angles: 90.00 90.00 90.00
Space group P4/mmm (No. 123)
Symmetry-distinct sites (fractional):
Li: 0.000 0.500 0.000 [2 per cell]
Ca: 0.000 0.000 0.000 [1 per cell]
In: 0.500 0.500 0.500 [1 per cell]
B: 0.000 0.000 0.500 [1 per cell]

***

(8)
## SrAgIr2 (GGA-PBEsol)

Data for a relaxed SrAgIr2 crystal.

Computed properties:
E_form (meV/atom): 358
Calculated volume (Å³/f.u.): 73.2
Total DFT energy (no corrections) (eV per atom): -5.841
D(E_F) (states/eV/atom): 0.66

abc: 9.737 2.837 5.375
angles: 90.00 99.54 90.00
Space group C2/m (No. 12)
Symmetry-distinct sites (fractional):
Sr: 0.000 0.000 0.000 [2 per cell]
Ag: 0.000 0.500 0.500 [2 per cell]
Ir: 0.241 0.000 0.698 [4 per cell]

***

(9)
## KCaCl3 (GGA-PBEsol)

Data for a relaxed KCaCl3 crystal.

Computed properties:
Formation energy from raw total energies (eV/atom): -2.2265
Calculated volume (Å³/f.u.): 151.0
Total DFT energy (no corrections) (eV per atom): -4.085
D(E_F) (states/eV/atom): 0.00

abc: 7.1674 7.1674 20.3712
angles: 90.00 90.00 120.00
Space group R-3 (No. 148, hexagonal axes)
Symmetry-distinct sites (fractional):
K: 0.0000 0.0000 0.1414 [6 per cell]
Ca: 0.0000 0.0000 0.3410 [6 per cell]
Cl: 0.0156 0.3915 0.9235 [18 per cell]

***

(10)
## Ho2Ge2O7 (GGA-PBEsol)

Data for a relaxed Ho2Ge2O7 crystal.

Computed properties:
Formation energy from raw total energies (eV/atom): -2.7075
Calculated volume (Å³/f.u.): 120.4
Total DFT energy (no corrections) (eV per atom): -7.846
D(E_F) (states/eV/atom): 0.00

abc: 9.876 9.876 9.876
angles: 90.00 90.00 90.00
Space group Fd-3m (No. 227, origin choice 2)
Symmetry-distinct sites (fractional):
Ho: 0.000 0.000 0.000 [16 per cell]
Ge: 0.000 0.000 0.500 [16 per cell]
O: 0.079 0.375 0.875 [48 per cell]
O: 0.125 0.125 0.125 [8 per cell]

***

(11)
## NbCuSbTe2 (GGA-PBEsol)

Data for a relaxed NbCuSbTe2 crystal.

Computed properties:
Formation energy from raw total energies (eV/atom): 0.6877
Calculated volume (Å³/f.u.): 149.1
Total DFT energy (no corrections) (eV per atom): -4.665
D(E_F) (states/eV/atom): 0.94

abc: 5.275 5.275 5.361
angles: 90.00 90.00 90.00
Space group P4/mmm (No. 123)
Symmetry-distinct sites (fractional):
Nb: 0.000 0.000 0.000 [1 per cell]
Cu: 0.500 0.500 0.500 [1 per cell]
Sb: 0.000 0.000 0.500 [1 per cell]
Te: 0.000 0.500 0.000 [2 per cell]

***

(12)
## YScZn2 (GGA-PBEsol)

Data for a relaxed YScZn2 crystal.

Computed properties:
E_form (meV/atom): -342
Calculated volume (Å³/f.u.): 79.6
Total DFT energy (no corrections) (eV per atom): -4.490
D(E_F) (states/eV/atom): 1.10

abc: 4.821 4.821 3.424
angles: 90.00 90.00 90.00
Space group P4/mmm (No. 123)
Symmetry-distinct sites (fractional):
Y: 0.000 0.000 0.000 [1 per cell]
Sc: 0.500 0.500 0.000 [1 per cell]
Zn: 0.000 0.500 0.500 [2 per cell]

***

(13)
## GeBi3Pd (GGA-PBEsol)

Data for a relaxed GeBi3Pd crystal.

Computed properties:
E_form (meV/atom): 887
Calculated volume (Å³/f.u.): 152.5
Total DFT energy (no corrections) (eV per atom): -3.864
D(E_F) (states/eV/atom): 0.81

abc: 5.342 5.342 5.342
angles: 90.00 90.00 90.00
Space group Pm-3m (No. 221)
Symmetry-distinct sites (fractional):
Ge: 0.000 0.000 0.000 [1 per cell]
Bi: 0.000 0.000 0.500 [3 per cell]
Pd: 0.500 0.500 0.500 [1 per cell]

***

(14)
## CaMgPt2 (GGA-PBEsol)

Data for a relaxed CaMgPt2 crystal.

Computed properties:
E_form (meV/atom): -754
Calculated volume (Å³/f.u.): 70.9
Total DFT energy (no corrections) (eV per atom): -5.199
D(E_F) (states/eV/atom): 0.29

abc: 3.027 3.452 6.787
angles: 90.00 90.00 90.00
Space group Pmmm (No. 47)
Symmetry-distinct sites (fractional):
Ca: 0.000 0.000 0.000 [1 per cell]
Mg: 0.000 0.000 0.500 [1 per cell]
Pt: 0.500 0.500 0.282 [2 per cell]

***

(15)
## MnRuRh (GGA-PBEsol)

Data for a relaxed MnRuRh crystal.

Computed properties:
E_form (meV/atom): 305
Calculated volume (Å³/f.u.): 39.7
Total DFT energy (no corrections) (eV per atom): -9.053
D(E_F) (states/eV/atom): 1.30

abc: 2.763 4.468 12.870
angles: 90.00 90.00 90.00
Space group Fmm2 (No. 42)
Symmetry-distinct sites (fractional):
Mn: 0.000 0.000 0.000 [4 per cell]
Ru: 0.000 0.000 0.342 [4 per cell]
Rh: 0.000 0.000 0.662 [4 per cell]

***

(16)
## PdC2Br (GGA-PBEsol)

Data for a relaxed PdC2Br crystal.

Computed properties:
Formation energy from raw total energies (eV/atom): 1.8966
Calculated volume (Å³/f.u.): 60.7
Total DFT energy (no corrections) (eV per atom): -4.882
D(E_F) (states/eV/atom): 0.56

abc: 5.447 5.447 8.189
angles: 90.00 90.00 90.00
Space group I-42d (No. 122)
Symmetry-distinct sites (fractional):
Pd: 0.000 0.000 0.000 [4 per cell]
C: 0.181 0.250 0.125 [8 per cell]
Br: 0.000 0.000 0.500 [4 per cell]

***

(17)
## SrMn3O (GGA-PBEsol)

Data for a relaxed SrMn3O crystal.

Computed properties:
Formation energy from raw total energies (eV/atom): 0.2465
Calculated volume (Å³/f.u.): 74.6
Total DFT energy (no corrections) (eV per atom): -7.028
D(E_F) (states/eV/atom): 0.56

abc: 4.210 4.210 4.210
angles: 90.00 90.00 90.00
Space group Pm-3m (No. 221)
Symmetry-distinct sites (fractional):
Sr: 0.000 0.000 0.000 [1 per cell]
Mn: 0.000 0.500 0.500 [3 per cell]
O: 0.500 0.500 0.500 [1 per cell]

***

(18)
## YErO3 (GGA-PBEsol)

Data for a relaxed YErO3 crystal.

Computed properties:
Formation energy from raw total energies (eV/atom): -3.5709
Calculated volume (Å³/f.u.): 67.6
Total DFT energy (no corrections) (eV per atom): -9.070
D(E_F) (states/eV/atom): 0.00

abc: 5.847 8.284 5.582
angles: 90.00 90.00 90.00
Space group Pnma (No. 62)
Symmetry-distinct sites (fractional):
Y: 0.055 0.250 0.021 [4 per cell]
Er: 0.000 0.000 0.500 [4 per cell]
O: 0.080 0.750 0.349 [4 per cell]
O: 0.190 0.581 0.813 [8 per cell]

***

(19)
## CdInAg2 (GGA-PBEsol)

Data for a relaxed CdInAg2 crystal.

Computed properties:
E_form (meV/atom): -32
Calculated volume (Å³/f.u.): 74.4
Total DFT energy (no corrections) (eV per atom): -2.732
D(E_F) (states/eV/atom): 0.32

abc: 4.158 4.158 8.610
angles: 90.00 90.00 90.00
Space group I-4m2 (No. 119)
Symmetry-distinct sites (fractional):
Cd: 0.000 0.000 0.000 [2 per cell]
In: 0.000 0.500 0.250 [2 per cell]
Ag: 0.000 0.000 0.500 [2 per cell]
Ag: 0.000 0.500 0.750 [2 per cell]

***

(20)
## Cd2InPb (GGA-PBEsol)

Data for a relaxed Cd2InPb crystal.

Computed properties:
E_form (meV/atom): 57
Calculated volume (Å³/f.u.): 98.1
Total DFT energy (no corrections) (eV per atom): -2.287
D(E_F) (states/eV/atom): 0.38

abc: 4.537 4.537 9.529
angles: 90.00 90.00 90.00
Space group I-4m2 (No. 119)
Symmetry-distinct sites (fractional):
Cd: 0.000 0.000 0.000 [2 per cell]
Cd: 0.000 0.500 0.250 [2 per cell]
In: 0.000 0.000 0.500 [2 per cell]
Pb: 0.000 0.500 0.750 [2 per cell]

***

(21)
## La2CoRh (GGA-PBEsol)

Data for a relaxed La2CoRh crystal.

Computed properties:
E_form (meV/atom): -39
Calculated volume (Å³/f.u.): 77.1
Total DFT energy (no corrections) (eV per atom): -6.681
D(E_F) (states/eV/atom): 1.73

abc: 6.756 6.756 6.756
angles: 90.00 90.00 90.00
Space group F-43m (No. 216)
Symmetry-distinct sites (fractional):
La: 0.000 0.000 0.000 [4 per cell]
La: 0.250 0.250 0.250 [4 per cell]
Co: 0.000 0.000 0.500 [4 per cell]
Rh: 0.250 0.250 0.750 [4 per cell]

***

(22)
## TaIn2Os (GGA-PBEsol)

Data for a relaxed TaIn2Os crystal.

Computed properties:
E_form (meV/atom): 392
Calculated volume (Å³/f.u.): 71.5
Total DFT energy (no corrections) (eV per atom): -7.291
D(E_F) (states/eV/atom): 0.93

abc: 6.587 6.587 6.587
angles: 90.00 90.00 90.00
Space group F-43m (No. 216)
Symmetry-distinct sites (fractional):
Ta: 0.000 0.000 0.000 [4 per cell]
In: 0.000 0.000 0.500 [4 per cell]
In: 0.250 0.250 0.250 [4 per cell]
Os: 0.250 0.250 0.750 [4 per cell]

***

(23)
## ZrHgAs2 (GGA-PBEsol)

Data for a relaxed ZrHgAs2 crystal.

Computed properties:
E_form (meV/atom): -438
Calculated volume (Å³/f.u.): 80.7
Total DFT energy (no corrections) (eV per atom): -5.406
D(E_F) (states/eV/atom): 0.53

abc: 10.908 3.691 4.013
angles: 90.00 93.36 90.00
Space group Cm (No. 8)
Symmetry-distinct sites (fractional):
Zr: 0.000 0.000 0.000 [2 per cell]
Hg: 0.293 0.500 0.462 [2 per cell]
As: 0.054 0.500 0.508 [2 per cell]
As: 0.294 0.000 0.967 [2 per cell]

***

(24)
## Ba3Cu (GGA-PBEsol)

Data for a relaxed Ba3Cu crystal.

Computed properties:
E_form (meV/atom): 346
Calculated volume (Å³/f.u.): 159.0
Total DFT energy (no corrections) (eV per atom): -2.349
D(E_F) (states/eV/atom): 1.50

abc: 5.090 5.090 12.275
angles: 90.00 90.00 90.00
Space group I4/mmm (No. 139)
Symmetry-distinct sites (fractional):
Ba: 0.000 0.000 0.000 [2 per cell]
Ba: 0.000 0.500 0.250 [4 per cell]
Cu: 0.000 0.000 0.500 [2 per cell]

***

(25)
## LaTcPt2 (GGA-PBEsol)

Data for a relaxed LaTcPt2 crystal.

Computed properties:
E_form (meV/atom): -241
Calculated volume (Å³/f.u.): 71.4
Total DFT energy (no corrections) (eV per atom): -7.876
D(E_F) (states/eV/atom): 0.78

abc: 2.887 4.678 5.287
angles: 90.00 90.30 90.00
Space group Pm (No. 6)
Symmetry-distinct sites (fractional):
La: 0.000 0.000 0.000 [1 per cell]
Tc: 0.007 0.500 0.624 [1 per cell]
Pt: 0.502 0.500 0.195 [1 per cell]
Pt: 0.503 0.000 0.513 [1 per cell]

***

(26)
## LaMg2 (GGA-PBEsol)

Data for a relaxed LaMg2 crystal.

Computed properties:
E_form (meV/atom): -72
Calculated volume (Å³/f.u.): 82.9
Total DFT energy (no corrections) (eV per atom): -2.998
D(E_F) (states/eV/atom): 0.90

abc: 6.650 5.176 9.631
angles: 90.00 90.00 90.00
Space group Pnma (No. 62)
Symmetry-distinct sites (fractional):
La: 0.178 0.250 0.075 [4 per cell]
Mg: 0.043 0.250 0.726 [4 per cell]
Mg: 0.165 0.250 0.407 [4 per cell]